(1)
VASP calculation (PBE) on CuBi2 after structural relaxation.

Cell and atoms, written as extended XYZ:
```
6
Lattice="-3.5374 3.5374 2.9152 3.5374 -3.5374 2.9152 3.5374 3.5374 -2.9152" Properties=species:S:1:pos:R:3 pbc="T T T"
Cu 0.0000 0.0000 1.4576
Cu 0.0000 0.0000 4.3728
Bi 4.6991 1.1617 0.0000
Bi 1.1617 2.3757 0.0000
Bi 2.3757 1.1617 2.9152
Bi -1.1617 2.3757 2.9152
```

Results
The total energy comes out at -11.29 eV per formula unit. As for the theoretical density: 11.0 g cm⁻³.

---

(2)
VASP calculation (PBE) on HoBIr after structural relaxation.

Cell and atoms, written as extended XYZ:
```
3
Lattice="0.0000 3.0970 3.0970 3.0970 0.0000 3.0970 3.0970 3.0970 0.0000" Properties=species:S:1:pos:R:3 pbc="T T T"
Ho 0.0000 0.0000 0.0000
B 4.6454 4.6454 4.6454
Ir 1.5485 1.5485 1.5485
```

Results
The total energy comes out at -17.31 eV per formula unit. As for the theoretical density: 10.3 g cm⁻³. The calculation puts the offset from the most stable computed form at 1051 meV per atom.

---

(3)
VASP calculation (PBE) on TmSnPbSe3 after structural relaxation.

Cell and atoms, written as extended XYZ:
```
12
Lattice="1.9772 -7.4865 0.0000 1.9772 7.4865 0.0000 0.0000 0.0000 11.6389" Properties=species:S:1:pos:R:3 pbc="T T T"
Tm 0.0000 0.0000 0.0000
Tm 0.0000 0.0000 5.8194
Sn 1.9772 2.1529 8.7292
Sn 1.9772 -2.1529 2.9097
Pb 1.9772 2.5206 2.9097
Pb 1.9772 -2.5206 8.7292
Se 1.9772 7.4703 8.7292
Se 1.9772 1.9810 5.8522
Se 1.9772 1.9810 11.6061
Se 1.9772 -1.9810 0.0328
Se 1.9772 -1.9810 5.7867
Se 1.9772 -7.4703 2.9097
```

Results
The total energy comes out at -28.05 eV per formula unit. As for the theoretical density: 7.1 g cm⁻³. The calculation puts the offset from the most stable computed form at 0 meV per atom.

---

(4)
VASP calculation (PBE) on ZnTePO after structural relaxation.

Cell and atoms, written as extended XYZ:
```
8
Lattice="4.6666 0.0000 0.0000 0.0000 4.6666 0.0000 0.0000 0.0000 7.3140" Properties=species:S:1:pos:R:3 pbc="T T T"
Zn 1.1667 1.1667 0.0829
Zn 3.5000 3.5000 7.2311
Te 1.1667 3.5000 3.6570
Te 3.5000 1.1667 3.6570
P 1.1667 1.1667 2.6024
P 3.5000 3.5000 4.7117
O 1.1667 3.5000 0.0000
O 3.5000 1.1667 0.0000
```

Results
The total energy comes out at -14.46 eV per formula unit. As for the theoretical density: 5.0 g cm⁻³. The calculation puts the offset from the most stable computed form at 377 meV per atom.

---

(5)
VASP calculation (PBE) on NdPdNO after structural relaxation.

Cell and atoms, written as extended XYZ:
```
8
Lattice="3.8778 0.0000 0.0000 0.0000 5.2262 0.0000 0.0000 0.0000 5.5639" Properties=species:S:1:pos:R:3 pbc="T T T"
Nd 0.0000 0.9951 0.0000
Nd 0.0000 4.2310 2.7819
Pd 1.9389 1.8001 2.8362
Pd 1.9389 3.4260 0.0543
N 0.0000 1.7334 3.2401
N 0.0000 3.4928 0.4581
O 1.9389 0.3019 1.3426
O 1.9389 4.9243 4.1245
```

Results
The total energy comes out at -27.33 eV per formula unit. As for the theoretical density: 8.3 g cm⁻³. The calculation puts the offset from the most stable computed form at 261 meV per atom.

---

(6)
VASP calculation (PBE) on Gd2HoCd3Cu2Ag after structural relaxation.

Cell and atoms, written as extended XYZ:
```
9
Lattice="3.8822 0.0000 0.0000 0.0000 6.6545 3.8403 0.0000 -6.6545 3.8403" Properties=species:S:1:pos:R:3 pbc="T T T"
Gd 0.0000 -3.9232 3.8403
Gd 0.0000 3.9232 3.8403
Ho 0.0000 0.0000 2.9508
Cd 1.9411 0.0000 0.4862
Cd 1.9411 -1.7731 5.0709
Cd 1.9411 1.7731 5.0709
Cu 1.9411 -2.1987 2.2700
Cu 1.9411 2.1987 2.2700
Ag 0.0000 0.0000 6.0979
```

Results
The total energy comes out at -29.57 eV per formula unit. As for the theoretical density: 8.8 g cm⁻³.